[1]
# AlCu2

Crystalline AlCu2 at its relaxed geometry (PBE, Alexandria).

Calculated values
- Formation enthalpy at 0 K: -0.544 eV/f.u.
- Volume: 153.51 Å³/cell

Unit cell a=11.813 b=11.813 c=11.813 alpha=162.23 beta=162.23 gamma=25.23
Element x y z (fractional)
Cu1 0.166 0.666 0.500
Al1 0.920 0.920 0.000
Al2 0.670 0.170 0.500
Cu2 0.500 0.000 0.500
Cu3 0.250 0.250 0.000
Cu4 0.416 0.416 0.000
Al3 0.830 0.330 0.500
Cu5 0.750 0.750 0.000
Cu6 0.000 0.500 0.500
Cu7 0.334 0.834 0.500
Cu8 0.584 0.584 0.000
Al4 0.080 0.080 0.000


[2]
# K5Zn2Au5

Crystalline K5Zn2Au5 at its relaxed geometry (PBE, Alexandria).

Calculated values
- Formation enthalpy at 0 K: -3.079 eV/f.u.
- Volume: 372.57 Å³/cell

Unit cell a=4.470 b=8.571 c=10.370 alpha=81.21 beta=77.55 gamma=74.88
Element x y z (fractional)
Au1 0.934 0.295 0.837
K1 0.691 0.711 0.907
Zn1 0.606 0.557 0.231
Zn2 0.394 0.443 0.769
K2 0.370 0.939 0.322
K3 0.309 0.289 0.093
Au2 0.691 0.261 0.357
Au3 0.066 0.705 0.163
K4 0.630 0.061 0.678
K5 0.000 0.500 0.500
Au4 0.309 0.739 0.643
Au5 0.000 0.000 0.000


[3]
# Na2Sn2Se5

Crystalline Na2Sn2Se5 at its relaxed geometry (PBE, Alexandria).

Calculated values
- Energy above the lowest structure with this stoichiometry: 79 meV/atom
- Volume: 266.39 Å³/cell

Unit cell a=5.879 b=8.567 c=6.174 alpha=112.64 beta=90.00 gamma=110.07
Element x y z (fractional)
Se1 0.670 0.340 0.920
Sn1 0.851 0.702 0.137
Na1 0.653 0.307 0.399
Se2 0.000 0.000 0.000
Na2 0.347 0.693 0.601
Se3 0.859 0.718 0.577
Se4 0.330 0.660 0.080
Sn2 0.149 0.298 0.863
Se5 0.141 0.282 0.423


[4]
# Pm3Nd2Tm3

Crystalline Pm3Nd2Tm3 at its relaxed geometry (PBE, Alexandria).

Calculated values
- Formation enthalpy at 0 K: 0.162 eV/f.u.
- Energy above the lowest structure with this stoichiometry: 0 meV/atom
- Volume: 263.11 Å³/cell

Unit cell a=5.076 b=5.103 c=10.775 alpha=103.70 beta=103.62 gamma=90.00
Element x y z (fractional)
Nd1 0.750 0.250 0.499
Pm1 0.623 0.623 0.245
Tm1 0.876 0.876 0.753
Pm2 0.500 0.000 0.000
Tm2 0.124 0.124 0.247
Nd2 0.250 0.750 0.501
Pm3 0.377 0.377 0.755
Tm3 0.000 0.500 0.000